1.
Entry from the Alexandria database: a relaxed Li2FeMo crystal (PBE).

abc: 2.4965 4.1570 5.5547
angles: 90.00 99.40 90.00
Last column: nearest neighbours and their distance in Å.
Space group Pm (No. 6)
One atom of each set of equivalent atoms:
Li1 0.0000 0.0000 0.0000 (multiplicity 1)  4 Li 2.50-2.55, 1 Fe 2.76
Li2 0.2555 0.5000 0.7771 (multiplicity 1)  4 Li 2.50-2.55, 2 Fe 2.70, 1 Mo 2.73
Fe1 0.4271 0.0000 0.4900 (multiplicity 1)  2 Mo 2.47, 2 Fe 2.50, 3 Li 2.70-2.76
Mo1 0.7157 0.5000 0.3072 (multiplicity 1)  2 Fe 2.47, 2 Mo 2.50, 1 Li 2.73

Properties
- Energy relative to the lowest polymorph listed for this composition: 85.4 meV/atom
- Energy of formation from the pure elements: 316 meV/atom
- Total magnetic moment: 1.696 Bohr magnetons per cell

2.
Entry from the Alexandria database: a relaxed Li2ZnHg2 crystal (PBE).

abc: 7.4320 7.4320 3.4221
angles: 90.00 90.00 90.00
Last column: nearest neighbours and their distance in Å.
Space group P4/mbm (No. 127)
One atom of each set of equivalent atoms:
Li1 0.1546 0.3454 0.0000 (multiplicity 4)  6 Hg 2.71-2.81
Zn1 0.0000 0.0000 0.5000 (multiplicity 2)  4 Hg 2.85
Hg1 0.1458 0.6458 0.5000 (multiplicity 4)  6 Li 2.71-2.81, 2 Zn 2.85

Properties
- Energy relative to the lowest polymorph listed for this composition: 0.0 meV/atom
- Energy of formation from the pure elements: -213 meV/atom
- Total magnetic moment: 0.000 Bohr magnetons per cell

3.
Entry from the Alexandria database: a relaxed LiPmMg2 crystal (PBE).

abc: 5.1662 5.1662 7.3216
angles: 90.00 90.00 90.00
Last column: nearest neighbours and their distance in Å.
Space group I-4m2 (No. 119)
One atom of each set of equivalent atoms:
Li1 0.0000 0.0000 0.0000 (multiplicity 2)  4 Mg 3.17, 4 Pm 3.17
Pm1 0.0000 0.5000 0.2500 (multiplicity 2)  4 Li 3.17, 4 Mg 3.17
Mg1 0.0000 0.0000 0.5000 (multiplicity 2)  4 Mg 3.17, 4 Pm 3.17
Mg2 0.0000 0.5000 0.7500 (multiplicity 2)  4 Li 3.17, 4 Mg 3.17

Properties
- Energy relative to the lowest polymorph listed for this composition: 0.0 meV/atom
- Energy of formation from the pure elements: -60 meV/atom
- Total magnetic moment: 0.000 Bohr magnetons per cell

4.
Entry from the Alexandria database: a relaxed Ba2LaS3 crystal (PBE).

abc: 7.6121 13.1633 7.6733
angles: 90.00 109.32 90.00
Last column: nearest neighbours and their distance in Å.
Space group C2/m (No. 12)
One atom of each set of equivalent atoms:
Ba1 0.0000 0.0000 0.0000 (multiplicity 2)  6 S 3.13-3.15
Ba2 0.0000 0.1629 0.5000 (multiplicity 4)  6 S 3.13-3.26
Ba3 0.0000 0.5000 0.5000 (multiplicity 2)  6 S 3.12-3.25
La1 0.0000 0.3327 0.0000 (multiplicity 4)  6 S 2.97-2.98
S1 0.2250 0.5000 0.2268 (multiplicity 4)  2 La 2.97, 4 Ba 3.12-3.24
S2 0.2476 0.3247 0.7695 (multiplicity 8)  2 La 2.98, 4 Ba 3.13-3.26

Properties
- Uncorrected formation energy: -2.07 eV/atom
- Total magnetic moment: 0.000 Bohr magnetons per cell

5.
Entry from the Alexandria database: a relaxed SrCuSe2O6 crystal (PBE).

abc: 8.1609 5.2255 15.0896
angles: 90.00 91.00 90.00
Last column: nearest neighbours and their distance in Å.
Space group C2/c (No. 15)
One atom of each set of equivalent atoms:
Sr1 0.0000 0.0599 0.2500 (multiplicity 4)  8 O 2.61-2.82
Cu1 0.0000 0.0000 0.0000 (multiplicity 4)  4 O 1.95-1.98
Se1 0.1430 0.4999 0.0936 (multiplicity 8)  3 O 1.70-1.77
O1 0.0266 0.2920 0.4182 (multiplicity 8)  1 Se 1.77, 1 Cu 1.98
O2 0.0443 0.2046 0.6058 (multiplicity 8)  1 Se 1.75, 1 Cu 1.95
O3 0.1971 0.4388 0.2005 (multiplicity 8)  1 Se 1.70

Properties
- Energy relative to the lowest polymorph listed for this composition: 0.0 meV/atom
- Uncorrected formation energy: -1.31 eV/atom
- Total magnetic moment: 4.004 Bohr magnetons per cell

6.
Entry from the Alexandria database: a relaxed K4Tb6F19 crystal (PBE).

abc: 11.1845 11.1845 11.1845
angles: 90.00 90.00 90.00
Last column: nearest neighbours and their distance in Å.
Space group I23 (No. 197)
One atom of each set of equivalent atoms:
K1 0.1306 0.1306 0.1306 (multiplicity 8)  1 F 2.53
Tb1 0.0000 0.1621 0.5000 (multiplicity 12)  6 F 2.21-2.26
F1 0.0000 0.0000 0.0000 (multiplicity 2)  4 K 2.53
F2 0.0000 0.0000 0.3799 (multiplicity 12)  2 Tb 2.26
F3 0.0039 0.3023 0.3607 (multiplicity 24)  2 Tb 2.21-2.23

Properties
- Uncorrected formation energy: -3.49 eV/atom
- Total magnetic moment: 0.000 Bohr magnetons per cell